Material: HoHO2
Method: DFT, PBE
State: relaxed

Cell: 10.902 3.518 5.047 Å, 90.00 90.00 90.00°
Element x y z (fractional)
Ho  0.144  0.250  0.103
Ho  0.356  0.750  0.603
Ho  0.644  0.250  0.397
Ho  0.856  0.750  0.897
H  0.100  0.750  0.641
H  0.400  0.250  0.141
H  0.600  0.750  0.859
H  0.900  0.250  0.359
O  0.067  0.750  0.827
O  0.190  0.750  0.350
O  0.310  0.250  0.850
O  0.433  0.250  0.327
O  0.567  0.750  0.673
O  0.690  0.750  0.150
O  0.810  0.250  0.650
O  0.933  0.250  0.173

=====

Material: Pr6Te5Pt
Method: DFT, PBE
State: relaxed

Cell: 7.803 7.803 7.795 Å, 99.69 99.69 119.76°
Element x y z (fractional)
Pr  0.075  0.385  0.731
Pr  0.230  0.230  0.258
Pr  0.385  0.075  0.731
Pr  0.615  0.925  0.269
Pr  0.770  0.770  0.742
Pr  0.925  0.615  0.269
Te  0.178  0.822  0.000
Te  0.336  0.664  0.500
Te  0.500  0.500  0.000
Te  0.664  0.336  0.500
Te  0.822  0.178  0.000
Pt  0.000  0.000  0.500

## Properties
The raw formation energy is -1.41 eV/atom.

=====

Material: Ni3Sb5
Method: DFT, PBE
State: relaxed

Cell: 7.758 7.758 6.356 Å, 90.00 90.00 120.00°
Element x y z (fractional)
Ni  0.000  0.384  0.250
Ni  0.000  0.616  0.750
Ni  0.384  0.000  0.250
Ni  0.384  0.384  0.750
Ni  0.616  0.000  0.750
Ni  0.616  0.616  0.250
Sb  0.000  0.269  0.750
Sb  0.000  0.731  0.250
Sb  0.269  0.000  0.750
Sb  0.269  0.269  0.250
Sb  0.333  0.667  0.000
Sb  0.333  0.667  0.500
Sb  0.667  0.333  0.000
Sb  0.667  0.333  0.500
Sb  0.731  0.000  0.250
Sb  0.731  0.731  0.750

## Properties
The raw formation energy is 0.17 eV/atom. The value obtained for the energy relative to the lowest polymorph listed for this composition is 0.000 eV per atom.

=====

Material: CuH2Pd3
Method: DFT, PBE
State: relaxed

Cell: 2.862 5.562 8.975 Å, 105.65 90.05 104.26°
Element x y z (fractional)
Cu  0.045  0.068  0.379
Cu  0.955  0.932  0.621
H  0.234  0.468  0.732
H  0.414  0.843  0.051
H  0.586  0.157  0.949
H  0.766  0.532  0.268
Pd  0.153  0.303  0.884
Pd  0.306  0.616  0.397
Pd  0.400  0.810  0.841
Pd  0.600  0.190  0.159
Pd  0.694  0.384  0.603
Pd  0.847  0.697  0.116

## Properties
The value obtained for the energy relative to the lowest polymorph listed for this composition is 0.000 eV per atom.

=====

Ordered calculated total energy results: -114.05 -67.32 -73.24 -53.61; unit eV/cell.
Ordered calculated volume results: 12.096 32.350 20.708 11.080; unit A^3/atom.